Entry 1:
Na2SrCrTe: optimized geometry, PBE.

Lattice parameters (Å, degrees): 6.778 6.778 5.961 90.00 90.00 90.00
Space group P4/mmm (No. 123)
One atom of each set of equivalent atoms:
Na (0.000, 0.500, 0.000) [2 per cell]
Sr (0.000, 0.000, 0.000) [1 per cell]
Cr (0.500, 0.500, 0.500) [1 per cell]
Te (0.000, 0.000, 0.500) [1 per cell]

## Properties
raw formation energy = 668.1 meV per atom
density of states at the Fermi level = 0.559 states/eV/atom



Entry 2:
BaBe2Re: optimized geometry, PBE.

Lattice parameters (Å, degrees): 4.0301 4.0301 17.0597 90.00 90.00 120.00
Space group R-3m (No. 166, hexagonal axes)
One atom of each set of equivalent atoms:
Ba (0.0000, 0.0000, 0.0000) [3 per cell]
Be (0.0000, 0.0000, 0.1826) [6 per cell]
Re (0.0000, 0.0000, 0.5000) [3 per cell]

## Properties
energy above the most stable polymorph in this dataset = 52 meV/atom
density of states at the Fermi level = 0.766 states/eV/atom



Entry 3:
CsTl2HgBi2: optimized geometry, PBE.

Lattice parameters (Å, degrees): 5.925 5.925 7.163 90.00 90.00 90.00
Space group P4/mmm (No. 123)
One atom of each set of equivalent atoms:
Cs (0.000, 0.000, 0.000) [1 per cell]
Tl (0.500, 0.500, 0.253) [2 per cell]
Hg (0.000, 0.000, 0.500) [1 per cell]
Bi (0.000, 0.500, 0.500) [2 per cell]

## Properties
calculated total energy = -2.3608 eV per atom
density of states at the Fermi level = 0.400 states/eV/atom



Entry 4:
K2NbC: optimized geometry, PBE.

Lattice parameters (Å, degrees): 12.389 12.389 4.116 90.00 90.00 90.00
Space group I-42d (No. 122)
One atom of each set of equivalent atoms:
K (0.049, 0.250, 0.125) [8 per cell]
Nb (0.000, 0.000, 0.500) [4 per cell]
C (0.000, 0.000, 0.000) [4 per cell]

## Properties
calculated total energy = -4.3439 eV per atom
density of states at the Fermi level = 0.570 states/eV/atom



Entry 5:
BeTcPt2: optimized geometry, PBE.

Lattice parameters (Å, degrees): 2.7568 2.7568 24.9414 90.00 90.00 120.00
Space group R-3m (No. 166, hexagonal axes)
One atom of each set of equivalent atoms:
Be (0.0000, 0.0000, 0.0000) [3 per cell]
Tc (0.0000, 0.0000, 0.5000) [3 per cell]
Pt (0.0000, 0.0000, 0.2592) [6 per cell]

## Properties
calculated total energy = -6.7713 eV per atom
density of states at the Fermi level = 1.318 states/eV/atom



Entry 6:
Ta2Sn: optimized geometry, PBE.

Lattice parameters (Å, degrees): 3.557 3.557 9.136 90.00 90.00 90.00
Space group I4/mmm (No. 139)
One atom of each set of equivalent atoms:
Ta (0.000, 0.000, 0.174) [4 per cell]
Sn (0.000, 0.000, 0.500) [2 per cell]

## Properties
calculated total energy = -9.2485 eV per atom
density of states at the Fermi level = 0.455 states/eV/atom



What is the density of states at the Fermi level in the sixth record? 0.455 states/eV/atom